CrIr4: relaxed, GGA-PBE.

Values from the calculation:
- ΔH_f (0 K): 41.4 kJ/mol of atoms
- DOS at the Fermi energy: 0.723 states/eV/atom
- E above lowest polymorph: 558 meV/atom
- Crystal system: tetragonal
- Theoretical density: 16.59 g/cm3

Unit cell a=3.6323 b=3.6323 c=12.4553 alpha=90.00 beta=90.00 gamma=90.00
Last column: nearest neighbours and their distance in Å.
Space group I4/mmm (No. 139)
Asymmetric unit:
Cr 0.0000 0.0000 0.0000 x2  8 Ir 2.84
Ir 0.0000 0.0000 0.4033 x4  5 Ir 2.41-2.64
Ir 0.0000 0.5000 0.2500 x4  8 Ir 2.57-2.64

CrFeCo2: relaxed, GGA-PBE.

Values from the calculation:
- ΔH_f (0 K): 11.2 kJ/mol of atoms
- DOS at the Fermi energy: 1.188 states/eV/atom
- Crystal system: tetragonal
- Theoretical density: 8.07 g/cm3

Unit cell a=4.0700 b=4.0700 c=2.8037 alpha=90.00 beta=90.00 gamma=90.00
Last column: nearest neighbours and their distance in Å.
Space group P4/mmm (No. 123)
Asymmetric unit:
Cr 0.0000 0.0000 0.0000 x1  8 Co 2.47
Fe 0.5000 0.5000 0.0000 x1  8 Co 2.47
Co 0.0000 0.5000 0.5000 x2  4 Cr 2.47, 4 Fe 2.47

AgBi2Te2: relaxed, GGA-PBE.

Values from the calculation:
- E_form (uncorrected): 111 meV per atom
- DOS at the Fermi energy: 0.353 states/eV/atom
- E above lowest polymorph: 8 meV/atom
- Crystal system: tetragonal
- Theoretical density: 8.28 g/cm3

Unit cell a=8.4986 b=8.4986 c=4.3386 alpha=90.00 beta=90.00 gamma=90.00
Last column: nearest neighbours and their distance in Å.
Space group P4/mbm (No. 127)
Asymmetric unit:
Ag 0.0000 0.0000 0.0000 x2  4 Bi 3.13
Bi 0.1756 0.3244 0.0000 x4  2 Te 3.03, 2 Ag 3.13
Te 0.1486 0.6486 0.5000 x4  2 Bi 3.03

ScNi: relaxed, GGA-PBE.

Values from the calculation:
- ΔH_f (0 K): -18.1 kJ/mol of atoms
- DOS at the Fermi energy: 0.579 states/eV/atom
- Crystal system: hexagonal
- Theoretical density: 4.99 g/cm3

Unit cell a=3.3123 b=3.3123 c=7.2614 alpha=90.00 beta=90.00 gamma=120.00
Last column: nearest neighbours and their distance in Å.
Space group P6_3/mmc (No. 194)
Asymmetric unit:
Sc 0.0000 0.0000 0.0000 x2  6 Ni 2.64
Ni 0.3333 0.6667 0.2500 x2  6 Sc 2.64

HfTi2OsN: relaxed, GGA-PBE.

Values from the calculation:
- E_form (uncorrected): -858 meV per atom
- DOS at the Fermi energy: 1.019 states/eV/atom
- Crystal system: tetragonal
- Theoretical density: 10.85 g/cm3

Unit cell a=4.0640 b=4.0640 c=4.4342 alpha=90.00 beta=90.00 gamma=90.00
Last column: nearest neighbours and their distance in Å.
Space group P4/mmm (No. 123)
Asymmetric unit:
Hf 0.0000 0.0000 0.0000 x1  2 N 2.22
Ti 0.0000 0.5000 0.5000 x2  2 N 2.03
Os 0.5000 0.5000 0.0000 x1  4 Hf 2.87, 8 Ti 3.01
N 0.0000 0.0000 0.5000 x1  4 Ti 2.03, 2 Hf 2.22

SiBi3Ru: relaxed, GGA-PBE.

Values from the calculation:
- E_form (uncorrected): 1299 meV per atom
- DOS at the Fermi energy: 1.101 states/eV/atom
- E above lowest polymorph: 534 meV/atom
- Crystal system: cubic
- Theoretical density: 8.45 g/cm3

Unit cell a=5.2966 b=5.2966 c=5.2966 alpha=90.00 beta=90.00 gamma=90.00
Last column: nearest neighbours and their distance in Å.
Space group Pm-3m (No. 221)
Asymmetric unit:
Si 0.0000 0.0000 0.0000 x1  6 Bi 2.65
Bi 0.0000 0.0000 0.5000 x3  2 Si 2.65
Ru 0.5000 0.5000 0.5000 x1  12 Bi 3.75